Record 1
Entry from Alexandria: a geometry-optimized TbY2Ni structure (PBE-GGA).

* formation energy from the elements: -0.95 eV per formula unit
* relative energy among the computed polymorphs: 0 meV per atom
* SG: Pnma (62)
* calculated volume: 422.3 Å³ per cell

Cell lengths 6.873, 9.630, 6.379 Å; angles 90.00, 90.00, 90.00 degrees
Atoms (fractional coordinates):
Tb 0.034 0.250 0.141
Tb 0.466 0.750 0.641
Tb 0.534 0.250 0.359
Tb 0.966 0.750 0.859
Y 0.177 0.066 0.679
Y 0.177 0.434 0.679
Y 0.323 0.566 0.179
Y 0.323 0.934 0.179
Y 0.677 0.066 0.821
Y 0.677 0.434 0.821
Y 0.823 0.566 0.321
Y 0.823 0.934 0.321
Ni 0.111 0.750 0.449
Ni 0.389 0.250 0.949
Ni 0.611 0.750 0.051
Ni 0.889 0.250 0.551

Record 2
Entry from Alexandria: a geometry-optimized Cs2NpCu2Se6 structure (PBE-GGA).

* SG: R-3m (166)
* calculated volume: 357.5 Å³ per cell
* formation energy from raw total energies: -0.6502 eV per atom

Cell lengths 8.278, 8.278, 8.278 Å; angles 55.32, 55.32, 55.32 degrees
Atoms (fractional coordinates):
Cs 0.234 0.234 0.234
Cs 0.766 0.766 0.766
Np 0.000 0.000 0.000
Cu 0.412 0.412 0.412
Cu 0.588 0.588 0.588
Se 0.238 0.238 0.758
Se 0.238 0.758 0.238
Se 0.242 0.762 0.762
Se 0.758 0.238 0.238
Se 0.762 0.242 0.762
Se 0.762 0.762 0.242

Record 3
Entry from Alexandria: a geometry-optimized TiB2Ru structure (PBE-GGA).

* formation energy from the elements: 0.31 eV per formula unit
* relative energy among the computed polymorphs: 215 meV per atom
* SG: I4_1/amd (141)
* calculated volume: 99.1 Å³ per cell

Cell lengths 7.985, 7.985, 7.985 Å; angles 153.80, 153.80, 37.39 degrees
Atoms (fractional coordinates):
Ti 0.375 0.625 0.750
Ti 0.625 0.375 0.250
B 0.000 0.000 0.000
B 0.000 0.000 0.500
B 0.000 0.500 0.000
B 0.500 0.000 0.500
Ru 0.125 0.875 0.250
Ru 0.875 0.125 0.750

Record 4
Entry from Alexandria: a geometry-optimized Tb2Sm3HoTm6 structure (PBE-GGA).

* formation energy from the elements: 0.25 eV per formula unit
* SG: C2/m (12)
* calculated volume: 374.1 Å³ per cell

Cell lengths 6.132, 6.132, 11.663 Å; angles 95.01, 95.01, 119.97 degrees
Atoms (fractional coordinates):
Tb 0.167 0.833 0.000
Tb 0.833 0.167 0.000
Sm 0.000 0.000 0.500
Sm 0.333 0.667 0.500
Sm 0.667 0.333 0.500
Ho 0.500 0.500 0.000
Tm 0.084 0.417 0.752
Tm 0.250 0.250 0.248
Tm 0.417 0.084 0.752
Tm 0.583 0.916 0.248
Tm 0.750 0.750 0.752
Tm 0.916 0.583 0.248

Q: What is the formula in the second record?
A: Cs2NpCu2Se6